Y2GaP: relaxed, PBE-GGA.

Summary:
Volume = 22.16 Å³ per atom
Calculated formation energy = -0.65 eV/atom
Energy relative to the lowest polymorph listed for this composition = 490.1 meV/atom
E_tot = -0.2202 Ha/atom

Cell lengths 7.0775, 7.0775, 7.0775 Å; angles 90.00, 90.00, 90.00 degrees
Element x y z (fractional)
Y 0.2500 0.2500 0.2500
Y 0.2500 0.2500 0.7500
Y 0.2500 0.7500 0.2500
Y 0.2500 0.7500 0.7500
Y 0.7500 0.2500 0.2500
Y 0.7500 0.2500 0.7500
Y 0.7500 0.7500 0.2500
Y 0.7500 0.7500 0.7500
Ga 0.0000 0.0000 0.0000
Ga 0.0000 0.5000 0.5000
Ga 0.5000 0.0000 0.5000
Ga 0.5000 0.5000 0.0000
P 0.0000 0.0000 0.5000
P 0.0000 0.5000 0.0000
P 0.5000 0.0000 0.0000
P 0.5000 0.5000 0.5000

YGa2P2: relaxed, PBE-GGA.

Summary:
Volume = 20.17 Å³ per atom
Calculated formation energy = -0.46 eV/atom
Energy relative to the lowest polymorph listed for this composition = 0.0 meV/atom
E_tot = -0.1885 Ha/atom

Cell lengths 3.8157, 3.8157, 13.8500 Å; angles 90.00, 90.00, 90.00 degrees
Element x y z (fractional)
Y 0.0000 0.0000 0.0000
Y 0.5000 0.5000 0.5000
Ga 0.0000 0.5000 0.2500
Ga 0.0000 0.5000 0.7500
Ga 0.5000 0.0000 0.2500
Ga 0.5000 0.0000 0.7500
P 0.0000 0.0000 0.4185
P 0.0000 0.0000 0.5815
P 0.5000 0.5000 0.0815
P 0.5000 0.5000 0.9185

Y2GaP: relaxed, PBE-GGA.

Summary:
Volume = 23.62 Å³ per atom
Calculated formation energy = -1.14 eV/atom
Energy relative to the lowest polymorph listed for this composition = 0.0 meV/atom
E_tot = -0.2382 Ha/atom

Cell lengths 4.0512, 22.8042, 4.0903 Å; angles 90.00, 90.00, 90.00 degrees
Element x y z (fractional)
Y 0.0000 0.0699 0.2500
Y 0.0000 0.3112 0.2500
Y 0.0000 0.6888 0.7500
Y 0.0000 0.9301 0.7500
Y 0.5000 0.1888 0.7500
Y 0.5000 0.4301 0.7500
Y 0.5000 0.5699 0.2500
Y 0.5000 0.8112 0.2500
Ga 0.0000 0.4636 0.2500
Ga 0.0000 0.5364 0.7500
Ga 0.5000 0.0364 0.7500
Ga 0.5000 0.9636 0.2500
P 0.0000 0.1891 0.2500
P 0.0000 0.8109 0.7500
P 0.5000 0.3109 0.7500
P 0.5000 0.6891 0.2500

YGa2P: relaxed, PBE-GGA.

Summary:
Volume = 20.66 Å³ per atom
Calculated formation energy = -0.44 eV/atom
Energy relative to the lowest polymorph listed for this composition = 0.0 meV/atom
E_tot = -0.1808 Ha/atom

Cell lengths 7.6370, 7.6370, 5.6689 Å; angles 90.00, 90.00, 90.00 degrees
Element x y z (fractional)
Y 0.0000 0.0000 0.0000
Y 0.0000 0.5000 0.2500
Y 0.5000 0.0000 0.7500
Y 0.5000 0.5000 0.5000
Ga 0.2020 0.2500 0.6250
Ga 0.2500 0.7020 0.8750
Ga 0.2500 0.7980 0.3750
Ga 0.2980 0.2500 0.1250
Ga 0.7020 0.7500 0.1250
Ga 0.7500 0.2020 0.3750
Ga 0.7500 0.2980 0.8750
Ga 0.7980 0.7500 0.6250
P 0.0000 0.0000 0.5000
P 0.0000 0.5000 0.7500
P 0.5000 0.0000 0.2500
P 0.5000 0.5000 0.0000

YGaP2: relaxed, PBE-GGA.

Summary:
Volume = 19.41 Å³ per atom
Calculated formation energy = -0.31 eV/atom
Energy relative to the lowest polymorph listed for this composition = 368.8 meV/atom
E_tot = -0.1981 Ha/atom

Cell lengths 6.7725, 6.7725, 6.7725 Å; angles 90.00, 90.00, 90.00 degrees
Element x y z (fractional)
Y 0.0000 0.0000 0.0000
Y 0.0000 0.5000 0.5000
Y 0.5000 0.0000 0.5000
Y 0.5000 0.5000 0.0000
Ga 0.0000 0.0000 0.5000
Ga 0.0000 0.5000 0.0000
Ga 0.5000 0.0000 0.0000
Ga 0.5000 0.5000 0.5000
P 0.2500 0.2500 0.2500
P 0.2500 0.2500 0.7500
P 0.2500 0.7500 0.2500
P 0.2500 0.7500 0.7500
P 0.7500 0.2500 0.2500
P 0.7500 0.2500 0.7500
P 0.7500 0.7500 0.2500
P 0.7500 0.7500 0.7500

YGa2P: relaxed, PBE-GGA.

Summary:
Volume = 20.63 Å³ per atom
Calculated formation energy = -0.04 eV/atom
Energy relative to the lowest polymorph listed for this composition = 401.8 meV/atom
E_tot = -0.1660 Ha/atom

Cell lengths 6.9114, 6.9114, 6.9114 Å; angles 90.00, 90.00, 90.00 degrees
Element x y z (fractional)
Y 0.0000 0.0000 0.0000
Y 0.0000 0.5000 0.5000
Y 0.5000 0.0000 0.5000
Y 0.5000 0.5000 0.0000
Ga 0.2500 0.2500 0.2500
Ga 0.2500 0.2500 0.7500
Ga 0.2500 0.7500 0.2500
Ga 0.2500 0.7500 0.7500
Ga 0.7500 0.2500 0.2500
Ga 0.7500 0.2500 0.7500
Ga 0.7500 0.7500 0.2500
Ga 0.7500 0.7500 0.7500
P 0.0000 0.0000 0.5000
P 0.0000 0.5000 0.0000
P 0.5000 0.0000 0.0000
P 0.5000 0.5000 0.5000

YGaP: relaxed, PBE-GGA.

Summary:
Volume = 28.23 Å³ per atom
Calculated formation energy = -0.70 eV/atom
E_tot = -0.2083 Ha/atom

Cell lengths 3.9145, 3.9145, 22.1067 Å; angles 90.00, 90.00, 90.00 degrees
Element x y z (fractional)
Y 0.0000 0.0000 0.1874
Y 0.0000 0.0000 0.8126
Y 0.5000 0.5000 0.3126
Y 0.5000 0.5000 0.6874
Ga 0.0000 0.0000 0.4295
Ga 0.0000 0.0000 0.5705
Ga 0.5000 0.5000 0.0705
Ga 0.5000 0.5000 0.9295
P 0.0000 0.0000 0.3136
P 0.0000 0.0000 0.6864
P 0.5000 0.5000 0.1863
P 0.5000 0.5000 0.8136

YGa2P2: relaxed, PBE-GGA.

Summary:
Volume = 19.27 Å³ per atom
Calculated formation energy = -0.41 eV/atom
Energy relative to the lowest polymorph listed for this composition = 54.4 meV/atom
E_tot = -0.1865 Ha/atom

Cell lengths 4.8117, 4.8117, 8.3245 Å; angles 90.00, 90.00, 90.00 degrees
Element x y z (fractional)
Y 0.0000 0.0000 0.0000
Y 0.5000 0.5000 0.5000
Ga 0.0000 0.0000 0.3507
Ga 0.0000 0.0000 0.6493
Ga 0.5000 0.5000 0.1493
Ga 0.5000 0.5000 0.8507
P 0.0000 0.5000 0.2500
P 0.0000 0.5000 0.7500
P 0.5000 0.0000 0.2500
P 0.5000 0.0000 0.7500

Y2GaP: relaxed, PBE-GGA.

Summary:
Volume = 24.80 Å³ per atom
Calculated formation energy = -0.67 eV/atom
Energy relative to the lowest polymorph listed for this composition = 469.0 meV/atom
E_tot = -0.2210 Ha/atom

Cell lengths 7.5792, 7.5792, 6.9070 Å; angles 90.00, 90.00, 90.00 degrees
Element x y z (fractional)
Y 0.2297 0.2500 0.1250
Y 0.2500 0.7297 0.3750
Y 0.2500 0.7703 0.8750
Y 0.2703 0.2500 0.6250
Y 0.7297 0.7500 0.6250
Y 0.7500 0.2297 0.8750
Y 0.7500 0.2703 0.3750
Y 0.7703 0.7500 0.1250
Ga 0.0000 0.0000 0.5000
Ga 0.0000 0.5000 0.7500
Ga 0.5000 0.0000 0.2500
Ga 0.5000 0.5000 0.0000
P 0.0000 0.0000 0.0000
P 0.0000 0.5000 0.2500
P 0.5000 0.0000 0.7500
P 0.5000 0.5000 0.5000

Y2GaP2: relaxed, PBE-GGA.

Summary:
Volume = 21.00 Å³ per atom
Calculated formation energy = -1.04 eV/atom
E_tot = -0.2351 Ha/atom

Cell lengths 7.4802, 7.4802, 3.7531 Å; angles 90.00, 90.00, 90.00 degrees
Element x y z (fractional)
Y 0.1588 0.3412 0.0000
Y 0.3412 0.8412 0.0000
Y 0.6588 0.1588 0.0000
Y 0.8412 0.6588 0.0000
Ga 0.0000 0.0000 0.5000
Ga 0.5000 0.5000 0.5000
P 0.1484 0.6484 0.5000
P 0.3516 0.1484 0.5000
P 0.6484 0.8516 0.5000
P 0.8516 0.3516 0.5000

YGaP2: relaxed, PBE-GGA.

Summary:
Volume = 22.10 Å³ per atom
Calculated formation energy = -0.68 eV/atom
Energy relative to the lowest polymorph listed for this composition = 0.0 meV/atom
E_tot = -0.2116 Ha/atom

Cell lengths 6.6779, 6.6779, 7.9300 Å; angles 90.00, 90.00, 90.00 degrees
Element x y z (fractional)
Y 0.0000 0.0000 0.0000
Y 0.0000 0.5000 0.2500
Y 0.5000 0.0000 0.7500
Y 0.5000 0.5000 0.5000
Ga 0.0000 0.0000 0.5000
Ga 0.0000 0.5000 0.7500
Ga 0.5000 0.0000 0.2500
Ga 0.5000 0.5000 0.0000
P 0.2004 0.2500 0.6250
P 0.2500 0.7004 0.8750
P 0.2500 0.7996 0.3750
P 0.2996 0.2500 0.1250
P 0.7004 0.7500 0.1250
P 0.7500 0.2004 0.3750
P 0.7500 0.2996 0.8750
P 0.7996 0.7500 0.6250

Y2GaP: relaxed, PBE-GGA.

Summary:
Volume = 29.05 Å³ per atom
Calculated formation energy = -0.58 eV/atom
Energy relative to the lowest polymorph listed for this composition = 563.1 meV/atom
E_tot = -0.2175 Ha/atom

Cell lengths 3.8084, 3.8084, 27.7554 Å; angles 90.00, 90.00, 120.00 degrees
Element x y z (fractional)
Y 0.0000 0.0000 0.1090
Y 0.0000 0.0000 0.8910
Y 0.3333 0.6667 0.5576
Y 0.3333 0.6667 0.7757
Y 0.6667 0.3333 0.2243
Y 0.6667 0.3333 0.4424
Ga 0.0000 0.0000 0.0000
Ga 0.3333 0.6667 0.6667
Ga 0.6667 0.3333 0.3333
P 0.0000 0.0000 0.5000
P 0.3333 0.6667 0.1667
P 0.6667 0.3333 0.8333